First-principles (GGA-PBE) data for crystalline TbCePuPb at its relaxed geometry, as listed in Alexandria via LeMat-Bulk.

The structure in CIF format:
```
data_TbCePuPb
_chemical_formula_sum 'Tb1 Ce1 Pu1 Pb1'
_space_group_name_H-M_alt 'P 1'
_space_group_IT_number 1
_cell_length_a 5.389
_cell_length_b 5.389
_cell_length_c 5.389
_cell_angle_alpha 60.00
_cell_angle_beta 60.00
_cell_angle_gamma 60.00
loop_
_space_group_symop_operation_xyz
'x,y,z'
loop_
_atom_site_label
_atom_site_type_symbol
_atom_site_fract_x
_atom_site_fract_y
_atom_site_fract_z
Tb1 Tb 0.000 0.000 0.000
Ce1 Ce 0.750 0.750 0.750
Pu1 Pu 0.500 0.500 0.500
Pb1 Pb 0.250 0.250 0.250
```

**Density of states at the Fermi level**: 8.7 states/eV/f.u.
**Calculated formation energy**: -0.037 eV per atom
**Space group**: F-43m
**Total magnetic moment**: 8.1 Bohr magnetons per cell
**Calculated total energy**: -28.8 eV per cell
**Crystal system**: cubic



First-principles (GGA-PBE) data for crystalline SrIn2HgBi at its relaxed geometry, as listed in Alexandria via LeMat-Bulk.

The structure in CIF format:
```
data_SrIn2HgBi
_chemical_formula_sum 'Sr1 In2 Hg1 Bi1'
_space_group_name_H-M_alt 'P 1'
_space_group_IT_number 1
_cell_length_a 4.625
_cell_length_b 4.625
_cell_length_c 8.870
_cell_angle_alpha 90.00
_cell_angle_beta 90.00
_cell_angle_gamma 90.00
loop_
_space_group_symop_operation_xyz
'x,y,z'
loop_
_atom_site_label
_atom_site_type_symbol
_atom_site_fract_x
_atom_site_fract_y
_atom_site_fract_z
Sr1 Sr 0.000 0.000 0.000
In1 In 0.000 0.500 0.371
In2 In 0.500 0.000 0.371
Hg1 Hg 0.000 0.000 0.633
Bi1 Bi 0.500 0.500 0.098
```

**Density of states at the Fermi level**: 2.1 states/eV/f.u.
**Calculated formation energy**: -0.240 eV per atom
**Space group**: P4mm
**Total magnetic moment**: 0.0 Bohr magnetons per cell
**Calculated total energy**: -12.5 eV per cell
**Crystal system**: tetragonal



First-principles (GGA-PBE) data for crystalline AcSi2Sn2Pt7 at its relaxed geometry, as listed in Alexandria via LeMat-Bulk.

The structure in CIF format:
```
data_AcSi2Sn2Pt7
_chemical_formula_sum 'Ac1 Si2 Sn2 Pt7'
_space_group_name_H-M_alt 'P 1'
_space_group_IT_number 1
_cell_length_a 4.012
_cell_length_b 4.012
_cell_length_c 15.740
_cell_angle_alpha 97.24
_cell_angle_beta 97.24
_cell_angle_gamma 90.03
loop_
_space_group_symop_operation_xyz
'x,y,z'
loop_
_atom_site_label
_atom_site_type_symbol
_atom_site_fract_x
_atom_site_fract_y
_atom_site_fract_z
Ac1 Ac 0.000 0.000 0.000
Si1 Si 0.379 0.379 0.756
Si2 Si 0.621 0.621 0.244
Sn1 Sn 0.211 0.211 0.424
Sn2 Sn 0.789 0.789 0.576
Pt1 Pt 0.079 0.579 0.159
Pt2 Pt 0.302 0.302 0.605
Pt3 Pt 0.421 0.921 0.841
Pt4 Pt 0.500 0.500 0.000
Pt5 Pt 0.579 0.079 0.159
Pt6 Pt 0.698 0.698 0.395
Pt7 Pt 0.921 0.421 0.841
```

**Density of states at the Fermi level**: 2.5 states/eV/f.u.
**E_form (uncorrected)**: -0.568 eV per atom
**Space group**: C2/m
**Total magnetic moment**: 0.0 Bohr magnetons per cell
**Calculated total energy**: -72.1 eV per cell
**Crystal system**: monoclinic



First-principles (GGA-PBE) data for crystalline Hf2Al5PdRh2 at its relaxed geometry, as listed in Alexandria via LeMat-Bulk.

The structure in CIF format:
```
data_Hf2Al5PdRh2
_chemical_formula_sum 'Hf4 Al10 Pd2 Rh4'
_space_group_name_H-M_alt 'P 1'
_space_group_IT_number 1
_cell_length_a 9.080
_cell_length_b 9.080
_cell_length_c 4.029
_cell_angle_alpha 90.00
_cell_angle_beta 90.00
_cell_angle_gamma 90.00
loop_
_space_group_symop_operation_xyz
'x,y,z'
loop_
_atom_site_label
_atom_site_type_symbol
_atom_site_fract_x
_atom_site_fract_y
_atom_site_fract_z
Hf1 Hf 0.178 0.322 0.000
Hf2 Hf 0.322 0.822 0.000
Hf3 Hf 0.678 0.178 0.000
Hf4 Hf 0.822 0.678 0.000
Al1 Al 0.000 0.500 0.500
Al2 Al 0.065 0.796 0.500
Al3 Al 0.204 0.065 0.500
Al4 Al 0.296 0.565 0.500
Al5 Al 0.435 0.296 0.500
Al6 Al 0.500 0.000 0.500
Al7 Al 0.565 0.704 0.500
Al8 Al 0.704 0.435 0.500
Al9 Al 0.796 0.935 0.500
Al10 Al 0.935 0.204 0.500
Pd1 Pd 0.000 0.000 0.000
Pd2 Pd 0.500 0.500 0.000
Rh1 Rh 0.118 0.618 0.000
Rh2 Rh 0.382 0.118 0.000
Rh3 Rh 0.618 0.882 0.000
Rh4 Rh 0.882 0.382 0.000
```

**Density of states at the Fermi level**: 3.2 states/eV/f.u.
**Calculated formation energy**: -0.713 eV per atom
**Space group**: P4/mbm
**Total magnetic moment**: 0.0 Bohr magnetons per cell
**Calculated total energy**: -131.3 eV per cell
**Crystal system**: tetragonal



First-principles (GGA-PBE) data for crystalline TbPr3NdSm at its relaxed geometry, as listed in Alexandria via LeMat-Bulk.

The structure in CIF format:
```
data_TbPr3NdSm
_chemical_formula_sum 'Tb2 Pr6 Nd2 Sm2'
_space_group_name_H-M_alt 'P 1'
_space_group_IT_number 1
_cell_length_a 6.413
_cell_length_b 6.413
_cell_length_c 12.156
_cell_angle_alpha 90.00
_cell_angle_beta 90.00
_cell_angle_gamma 123.37
loop_
_space_group_symop_operation_xyz
'x,y,z'
loop_
_atom_site_label
_atom_site_type_symbol
_atom_site_fract_x
_atom_site_fract_y
_atom_site_fract_z
Tb1 Tb 0.167 0.833 0.750
Tb2 Tb 0.833 0.167 0.250
Pr1 Pr 0.147 0.853 0.250
Pr2 Pr 0.333 0.667 0.016
Pr3 Pr 0.333 0.667 0.484
Pr4 Pr 0.667 0.333 0.516
Pr5 Pr 0.667 0.333 0.984
Pr6 Pr 0.853 0.147 0.750
Nd1 Nd 0.480 0.520 0.750
Nd2 Nd 0.520 0.480 0.250
Sm1 Sm 0.000 0.000 0.000
Sm2 Sm 0.000 0.000 0.500
```

**Density of states at the Fermi level**: 10.8 states/eV/f.u.
**Calculated formation energy**: 0.109 eV per atom
**Space group**: Cmcm
**Total magnetic moment**: 0.0 Bohr magnetons per cell
**Calculated total energy**: -55.6 eV per cell
**Crystal system**: orthorhombic



First-principles (GGA-PBE) data for crystalline Sr2Ag4Sn3Bi at its relaxed geometry, as listed in Alexandria via LeMat-Bulk.

The structure in CIF format:
```
data_Sr2Ag4Sn3Bi
_chemical_formula_sum 'Sr2 Ag4 Sn3 Bi1'
_space_group_name_H-M_alt 'P 1'
_space_group_IT_number 1
_cell_length_a 4.765
_cell_length_b 4.765
_cell_length_c 11.891
_cell_angle_alpha 90.00
_cell_angle_beta 90.00
_cell_angle_gamma 90.00
loop_
_space_group_symop_operation_xyz
'x,y,z'
loop_
_atom_site_label
_atom_site_type_symbol
_atom_site_fract_x
_atom_site_fract_y
_atom_site_fract_z
Sr1 Sr 0.000 0.500 0.235
Sr2 Sr 0.500 0.000 0.765
Ag1 Ag 0.000 0.000 0.000
Ag2 Ag 0.000 0.500 0.646
Ag3 Ag 0.500 0.000 0.354
Ag4 Ag 0.500 0.500 0.000
Sn1 Sn 0.000 0.500 0.874
Sn2 Sn 0.500 0.000 0.126
Sn3 Sn 0.500 0.500 0.500
Bi1 Bi 0.000 0.000 0.500
```

**Density of states at the Fermi level**: 4.1 states/eV/f.u.
**Calculated formation energy**: -0.337 eV per atom
**Space group**: P-4m2
**Total magnetic moment**: 0.0 Bohr magnetons per cell
**Calculated total energy**: -34.0 eV per cell
**Crystal system**: tetragonal